DFT (PBE-GGA) results for crystalline AsPWBr2 at its relaxed geometry.

a = 4.8781 Å, b = 4.8781 Å, c = 5.1108 Å
α = 90.00°, β = 90.00°, γ = 90.00°
Last column: magnetic moment on the atom in μB.
Positions (direct):
P (0.0000, 0.0000, 0.0000)  0.00
As (0.0000, 0.0000, 0.5000)  -0.24
Br (0.0000, 0.5000, 0.0000)  -0.01
Br (0.5000, 0.0000, 0.0000)  -0.01
W (0.5000, 0.5000, 0.5000)  3.13

Properties
The value obtained for the energy above the lowest structure with this stoichiometry is 489.8 meV per atom. The formation energy from raw total energies is 1.411 eV/atom. The value obtained for the total energy is -3.86 eV per atom. The space group is P4/mmm.